(1)
# CuIrW2

An optimized crystal structure of CuIrW2 (PBE-GGA, Alexandria).

```
8
Lattice="8.993 0.000 0.000 0.000 2.742 0.000 -0.713 0.000 4.827" Properties=species:S:1:pos:R:3 pbc="T T T"
Cu 0.000 0.000 0.000
Cu 4.496 1.371 0.000
Ir 1.703 0.000 3.583
Ir 6.199 1.371 3.583
W -0.320 1.371 2.458
W 2.083 1.371 1.081
W 4.176 0.000 2.458
W 6.579 0.000 1.081
```

formation enthalpy at 0 K = 0.10 eV per atom
D(E_F) = 5.8 states/eV/cell
offset from the most stable computed form = 0.066 eV per atom

(2)
# AlCuSe2

An optimized crystal structure of AlCuSe2 (PBE-GGA, Alexandria).

```
8
Lattice="7.057 0.000 0.000 0.000 7.009 0.000 -1.871 0.000 4.083" Properties=species:S:1:pos:R:3 pbc="T T T"
Al 0.000 0.000 0.000
Al 3.528 3.505 0.000
Cu 0.000 3.505 0.000
Cu 3.528 0.000 0.000
Se 1.764 1.752 0.000
Se 1.764 5.257 0.000
Se 5.292 1.752 0.000
Se 5.292 5.257 0.000
```

energy relative to the elements, uncorrected = -0.133 eV/atom
D(E_F) = 2.1 states/eV/cell

(3)
# ScAl2Sb

An optimized crystal structure of ScAl2Sb (PBE-GGA, Alexandria).

```
8
Lattice="5.799 0.000 0.000 0.000 8.273 0.000 0.000 0.000 3.470" Properties=species:S:1:pos:R:3 pbc="T T T"
Sc 0.000 0.000 0.000
Sc 2.900 4.137 0.000
Al 1.450 2.068 1.735
Al 1.450 6.205 1.735
Al 4.349 2.068 1.735
Al 4.349 6.205 1.735
Sb 0.000 4.137 0.000
Sb 2.900 0.000 0.000
```

energy relative to the elements, uncorrected = -0.186 eV/atom
D(E_F) = 4.7 states/eV/cell

(4)
# Nd2AlGa2

An optimized crystal structure of Nd2AlGa2 (PBE-GGA, Alexandria).

```
10
Lattice="5.605 -2.240 0.000 5.605 2.240 0.000 -4.992 0.000 9.503" Properties=species:S:1:pos:R:3 pbc="T T T"
Nd -0.868 0.000 1.655
Nd 7.087 0.000 7.848
Nd -0.932 0.000 5.697
Nd 7.151 0.000 3.806
Al 2.417 0.000 1.458
Al 3.802 0.000 8.045
Ga -0.686 0.000 8.905
Ga 2.310 0.000 5.837
Ga 3.909 0.000 3.666
Ga 6.905 0.000 0.598
```

formation enthalpy at 0 K = -0.59 eV per atom
D(E_F) = 8.5 states/eV/cell
offset from the most stable computed form = 0.000 eV per atom

(5)
# CaPSe

An optimized crystal structure of CaPSe (PBE-GGA, Alexandria).

```
12
Lattice="6.710 0.000 0.000 0.000 6.710 0.000 0.000 0.000 6.710" Properties=species:S:1:pos:R:3 pbc="T T T"
Ca 0.000 0.000 0.000
Ca 0.000 3.355 3.355
Ca 3.355 0.000 3.355
Ca 3.355 3.355 0.000
P 1.678 1.678 5.033
P 1.678 5.033 1.678
P 5.033 1.678 1.678
P 5.033 5.033 5.033
Se 0.000 0.000 3.355
Se 0.000 3.355 0.000
Se 3.355 0.000 0.000
Se 3.355 3.355 3.355
```

energy relative to the elements, uncorrected = -0.359 eV/atom
D(E_F) = 8.5 states/eV/cell

(6)
# PmIrPbAu

An optimized crystal structure of PmIrPbAu (PBE-GGA, Alexandria).

```
16
Lattice="7.094 0.000 0.000 0.000 7.094 0.000 0.000 0.000 7.094" Properties=species:S:1:pos:R:3 pbc="T T T"
Pm 0.000 0.000 0.000
Pm 0.000 3.547 3.547
Pm 3.547 0.000 3.547
Pm 3.547 3.547 0.000
Ir 1.773 1.773 5.320
Ir 1.773 5.320 1.773
Ir 5.320 1.773 1.773
Ir 5.320 5.320 5.320
Pb 0.000 0.000 3.547
Pb 0.000 3.547 0.000
Pb 3.547 0.000 0.000
Pb 3.547 3.547 3.547
Au 1.773 1.773 1.773
Au 1.773 5.320 5.320
Au 5.320 1.773 5.320
Au 5.320 5.320 1.773
```

formation enthalpy at 0 K = -0.30 eV per atom
D(E_F) = 13.6 states/eV/cell

(7)
# CdRu3C

An optimized crystal structure of CdRu3C (PBE-GGA, Alexandria).

```
5
Lattice="4.932 0.000 0.000 0.000 4.932 0.000 0.000 0.000 4.932" Properties=species:S:1:pos:R:3 pbc="T T T"
Cd 0.000 0.000 0.000
Ru 0.000 0.000 2.466
Ru 0.000 2.466 0.000
Ru 2.466 0.000 0.000
C 2.466 2.466 2.466
```

formation enthalpy at 0 K = 3.59 eV per atom
D(E_F) = 7.0 states/eV/cell

(8)
# Rb2SiH3

An optimized crystal structure of Rb2SiH3 (PBE-GGA, Alexandria).

```
12
Lattice="0.000 4.959 8.206 4.598 0.000 8.206 4.598 4.959 0.000" Properties=species:S:1:pos:R:3 pbc="T T T"
Rb 4.598 2.342 8.206
Rb 2.299 2.480 4.103
Rb 6.897 7.439 12.308
Rb 4.598 7.577 8.206
Si 4.598 4.959 5.402
Si 4.598 4.959 11.009
H 5.909 4.959 6.147
H 4.598 4.959 3.889
H 5.909 4.959 10.265
H 3.287 4.959 6.147
H 4.598 4.959 12.522
H 3.287 4.959 10.265
```

uncorrected energy = -2.794 eV per atom
D(E_F) = 1.7 states/eV/cell

(9)
# SrZr2IrO8

An optimized crystal structure of SrZr2IrO8 (PBE-GGA, Alexandria).

```
12
Lattice="4.950 0.000 0.000 0.000 6.733 0.000 -0.164 0.000 4.961" Properties=species:S:1:pos:R:3 pbc="T T T"
Sr 0.000 0.000 0.000
Zr 2.393 1.657 2.481
Zr 2.393 5.076 2.481
Ir 0.000 3.367 0.000
O 0.982 2.025 0.998
O 0.982 4.708 0.998
O 1.263 3.367 3.561
O 1.493 0.000 3.324
O 3.293 0.000 1.637
O 3.522 3.367 1.400
O 3.803 2.025 3.963
O 3.803 4.708 3.963
```

energy relative to the elements, uncorrected = -2.265 eV/atom
D(E_F) = 5.4 states/eV/cell

(10)
# ReMo

An optimized crystal structure of ReMo (PBE-GGA, Alexandria).

```
12
Lattice="7.313 0.000 0.000 -3.656 6.333 0.000 0.000 0.000 4.379" Properties=species:S:1:pos:R:3 pbc="T T T"
Re -1.307 3.551 1.095
Re 1.235 3.426 1.095
Re 0.072 5.690 1.095
Re 3.584 0.643 3.285
Re 2.422 2.908 3.285
Re 4.964 2.782 3.285
Mo -2.291 5.461 3.285
Mo 0.073 1.618 3.285
Mo 1.438 0.746 1.095
Mo 2.218 5.587 3.285
Mo 3.584 4.715 1.095
Mo 5.948 0.872 1.095
```

formation enthalpy at 0 K = 0.52 eV per atom
D(E_F) = 11.3 states/eV/cell
offset from the most stable computed form = 0.424 eV per atom

(11)
# Tb7CoCl12

An optimized crystal structure of Tb7CoCl12 (PBE-GGA, Alexandria).

```
20
Lattice="7.124 4.113 3.368 -7.124 4.113 3.368 0.000 -8.226 3.368" Properties=species:S:1:pos:R:3 pbc="T T T"
Tb 0.000 0.000 0.000
Tb -1.453 -1.566 3.608
Tb -0.630 2.041 3.608
Tb 2.083 -0.475 3.608
Tb -2.083 0.475 6.497
Tb 0.630 -2.041 6.497
Tb 1.453 1.566 6.497
Co 0.000 0.000 5.052
Cl -2.043 0.512 1.647
Cl 0.578 -2.025 1.647
Cl -3.822 -1.046 4.924
Cl -1.005 -3.833 5.181
Cl 1.465 1.513 1.647
Cl -2.817 2.787 5.181
Cl 2.817 -2.787 4.924
Cl -1.465 -1.513 8.457
Cl 1.005 3.833 4.924
Cl 3.822 1.046 5.181
Cl -0.578 2.025 8.457
Cl 2.043 -0.512 8.457
```

energy relative to the elements, uncorrected = -1.881 eV/atom

(12)
# La2Nd2Tm7

An optimized crystal structure of La2Nd2Tm7 (PBE-GGA, Alexandria).

```
11
Lattice="5.607 -5.791 0.000 5.607 5.791 0.000 -2.443 0.000 5.599" Properties=species:S:1:pos:R:3 pbc="T T T"
La 2.440 0.000 0.470
La 6.331 0.000 5.129
Nd 5.607 3.254 0.000
Nd 5.607 -3.254 0.000
Tm -1.221 0.000 2.800
Tm 2.895 3.040 1.883
Tm 2.848 0.000 3.879
Tm 5.877 3.040 3.716
Tm 2.895 -3.040 1.883
Tm 5.924 0.000 1.720
Tm 5.877 -3.040 3.716
```

formation enthalpy at 0 K = 0.17 eV per atom
D(E_F) = 17.9 states/eV/cell
offset from the most stable computed form = 0.008 eV per atom

(13)
# Dy5Ho12Cd2

An optimized crystal structure of Dy5Ho12Cd2 (PBE-GGA, Alexandria).

```
19
Lattice="7.760 -4.590 0.000 7.760 4.590 0.000 -0.158 0.000 8.179" Properties=species:S:1:pos:R:3 pbc="T T T"
Dy 0.000 0.000 0.000
Dy 3.642 0.000 0.664
Dy 4.642 0.000 4.036
Dy 10.720 0.000 4.143
Dy 11.721 0.000 7.515
Ho 5.372 2.895 2.115
Ho 1.278 0.000 3.187
Ho 5.686 1.789 6.837
Ho 9.990 2.895 6.064
Ho 9.677 1.789 1.342
Ho 6.889 0.000 1.459
Ho 8.474 0.000 6.720
Ho 5.686 -1.789 6.837
Ho 5.372 -2.895 2.115
Ho 9.677 -1.789 1.342
Ho 14.085 0.000 4.992
Ho 9.990 -2.895 6.064
Cd 7.681 1.666 4.090
Cd 7.681 -1.666 4.090
```

formation enthalpy at 0 K = 0.05 eV per atom
D(E_F) = 29.1 states/eV/cell

(14)
# UTaMoRu

An optimized crystal structure of UTaMoRu (PBE-GGA, Alexandria).

```
16
Lattice="6.582 0.000 0.000 0.000 6.582 0.000 0.000 0.000 6.582" Properties=species:S:1:pos:R:3 pbc="T T T"
U 0.000 0.000 0.000
U 0.000 3.291 3.291
U 3.291 0.000 3.291
U 3.291 3.291 0.000
Ta 0.000 0.000 3.291
Ta 0.000 3.291 0.000
Ta 3.291 0.000 0.000
Ta 3.291 3.291 3.291
Mo 1.646 1.646 1.646
Mo 1.646 4.937 4.937
Mo 4.937 1.646 4.937
Mo 4.937 4.937 1.646
Ru 1.646 1.646 4.937
Ru 1.646 4.937 1.646
Ru 4.937 1.646 1.646
Ru 4.937 4.937 4.937
```

formation enthalpy at 0 K = -0.03 eV per atom
D(E_F) = 29.4 states/eV/cell

(15)
# Be2IBr

An optimized crystal structure of Be2IBr (PBE-GGA, Alexandria).

```
16
Lattice="6.793 0.000 0.000 0.000 6.793 0.000 0.000 0.000 6.793" Properties=species:S:1:pos:R:3 pbc="T T T"
Be 1.698 1.698 1.698
Be 1.698 1.698 5.095
Be 1.698 5.095 1.698
Be 1.698 5.095 5.095
Be 5.095 1.698 1.698
Be 5.095 1.698 5.095
Be 5.095 5.095 1.698
Be 5.095 5.095 5.095
I 0.000 0.000 0.000
I 0.000 3.397 3.397
I 3.397 0.000 3.397
I 3.397 3.397 0.000
Br 0.000 0.000 3.397
Br 0.000 3.397 0.000
Br 3.397 0.000 0.000
Br 3.397 3.397 3.397
```

energy relative to the elements, uncorrected = 0.865 eV/atom
D(E_F) = 5.0 states/eV/cell
offset from the most stable computed form = 0.267 eV per atom

(16)
# Th2Si4TcNi3

An optimized crystal structure of Th2Si4TcNi3 (PBE-GGA, Alexandria).

```
10
Lattice="4.109 0.000 0.000 0.000 4.109 0.000 0.000 0.000 9.650" Properties=species:S:1:pos:R:3 pbc="T T T"
Th 0.000 2.054 2.382
Th 2.054 0.000 7.269
Si 0.000 0.000 0.000
Si 0.000 2.054 6.101
Si 2.054 0.000 3.549
Si 2.054 2.054 0.000
Tc 0.000 0.000 4.825
Ni 0.000 2.054 8.515
Ni 2.054 0.000 1.135
Ni 2.054 2.054 4.825
```

energy relative to the elements, uncorrected = -0.821 eV/atom
D(E_F) = 5.9 states/eV/cell

(17)
# Li2HoCd9

An optimized crystal structure of Li2HoCd9 (PBE-GGA, Alexandria).

```
12
Lattice="4.463 0.000 0.000 0.000 4.463 0.000 0.000 0.000 13.170" Properties=species:S:1:pos:R:3 pbc="T T T"
Li 0.000 0.000 2.148
Li 0.000 0.000 11.022
Ho 0.000 0.000 6.585
Cd 0.000 2.231 0.000
Cd 0.000 2.231 4.233
Cd 0.000 2.231 8.937
Cd 2.231 0.000 0.000
Cd 2.231 0.000 4.233
Cd 2.231 0.000 8.937
Cd 2.231 2.231 2.084
Cd 2.231 2.231 6.585
Cd 2.231 2.231 11.085
```

formation enthalpy at 0 K = -0.19 eV per atom
D(E_F) = 4.7 states/eV/cell

(18)
# Sr2NbPdO6

An optimized crystal structure of Sr2NbPdO6 (PBE-GGA, Alexandria).

```
10
Lattice="-2.859 2.859 4.130 2.859 -2.859 4.130 2.859 2.859 -4.130" Properties=species:S:1:pos:R:3 pbc="T T T"
Sr 2.859 0.000 2.065
Sr 0.000 2.859 2.065
Nb 0.000 0.000 0.000
Pd 0.000 0.000 4.130
O 0.000 0.000 1.995
O 1.409 1.409 0.000
O 1.450 -1.450 4.130
O -1.450 1.450 4.130
O 1.450 1.450 4.130
O 0.000 0.000 6.264
```

energy relative to the elements, uncorrected = -2.189 eV/atom
D(E_F) = 1.9 states/eV/cell

(19)
# ZnCr

An optimized crystal structure of ZnCr (PBE-GGA, Alexandria).

```
16
Lattice="7.556 0.000 0.000 0.000 7.556 0.000 0.000 0.000 3.821" Properties=species:S:1:pos:R:3 pbc="T T T"
Zn 0.000 2.406 0.000
Zn 0.000 5.150 0.000
Zn 1.372 3.778 1.911
Zn 2.406 0.000 0.000
Zn 3.778 1.372 1.911
Zn 3.778 6.184 1.911
Zn 5.150 0.000 0.000
Zn 6.184 3.778 1.911
Cr 1.152 1.152 1.911
Cr 1.152 6.403 1.911
Cr 2.625 2.625 0.000
Cr 2.625 4.930 0.000
Cr 4.930 2.625 0.000
Cr 4.930 4.930 0.000
Cr 6.403 1.152 1.911
Cr 6.403 6.403 1.911
```

formation enthalpy at 0 K = 0.37 eV per atom
D(E_F) = 7.6 states/eV/cell

(20)
# BaSi2Sb

An optimized crystal structure of BaSi2Sb (PBE-GGA, Alexandria).

```
4
Lattice="3.925 0.000 0.000 0.000 3.925 0.000 0.000 0.000 6.869" Properties=species:S:1:pos:R:3 pbc="T T T"
Ba 0.000 0.000 0.000
Si 1.963 1.963 2.255
Si 1.963 1.963 4.614
Sb 0.000 0.000 3.434
```

energy relative to the elements, uncorrected = -0.038 eV/atom
D(E_F) = 1.8 states/eV/cell